1.
# Pr9B2I14

Pr9B2I14 after structural relaxation (GGA-PBE, Alexandria via LeMat-Bulk). Values from VASP.

Properties
**Raw total energy**: -103.86 eV/f.u.
**Space-group type**: P-3, No. 147
**Crystal system**: trigonal
**Raw formation energy**: -25.787 eV/f.u.

The structure in Quantum ESPRESSO input format:
```
&SYSTEM
  ibrav = 0, nat = 25, ntyp = 3
/
ATOMIC_SPECIES
I 126.90 I.upf
Pr 140.91 Pr.upf
B 10.81 B.upf
CELL_PARAMETERS angstrom
-5.371 -1.608 -7.422
7.820 -4.884 1.228
-6.461 -8.696 6.559
ATOMIC_POSITIONS crystal
I 0.000 0.000 0.265
I 0.912 0.595 0.400
I 0.634 0.959 0.903
I 0.325 0.366 0.903
I 0.683 0.088 0.400
I 0.595 0.683 0.600
I 0.088 0.405 0.600
I 0.366 0.041 0.097
I 0.959 0.325 0.097
I 0.041 0.675 0.903
I 0.000 0.000 0.735
I 0.405 0.317 0.400
I 0.675 0.634 0.097
I 0.317 0.912 0.600
Pr 0.604 0.713 0.335
Pr 0.000 0.000 0.000
Pr 0.109 0.396 0.335
Pr 0.891 0.604 0.665
Pr 0.713 0.109 0.665
Pr 0.667 0.333 0.923
Pr 0.396 0.287 0.665
Pr 0.333 0.667 0.077
Pr 0.287 0.891 0.335
B 0.333 0.667 0.273
B 0.667 0.333 0.727
```

2.
# Pr7BI12

Pr7BI12 after structural relaxation (GGA-PBE, Alexandria via LeMat-Bulk). Values from VASP.

Properties
**Raw total energy**: -83.63 eV/f.u.
**Space-group type**: R-3, No. 148
**Crystal system**: trigonal
**Raw formation energy**: -24.897 eV/f.u.

The structure in Quantum ESPRESSO input format:
```
&SYSTEM
  ibrav = 0, nat = 20, ntyp = 3
/
ATOMIC_SPECIES
I 126.90 I.upf
Pr 140.91 Pr.upf
B 10.81 B.upf
CELL_PARAMETERS angstrom
-9.466 -3.057 0.470
5.224 -7.044 -4.718
3.453 0.596 9.321
ATOMIC_POSITIONS crystal
I 0.314 0.772 0.923
I 0.847 0.610 0.528
I 0.153 0.390 0.472
I 0.772 0.923 0.314
I 0.077 0.686 0.228
I 0.528 0.847 0.610
I 0.923 0.314 0.772
I 0.390 0.472 0.153
I 0.610 0.528 0.847
I 0.472 0.153 0.390
I 0.228 0.077 0.686
I 0.686 0.228 0.077
Pr 0.032 0.300 0.102
Pr 0.300 0.102 0.032
Pr 0.968 0.700 0.898
Pr 0.898 0.968 0.700
Pr 0.500 0.500 0.500
Pr 0.102 0.032 0.300
Pr 0.700 0.898 0.968
B 0.000 0.000 0.000
```

3.
# Pr3BI3

Pr3BI3 after structural relaxation (GGA-PBE, Alexandria via LeMat-Bulk). Values from VASP.

Properties
**Raw total energy**: -32.38 eV/f.u.
**Space-group type**: I4_132, No. 214
**Crystal system**: cubic
**Raw formation energy**: -6.717 eV/f.u.

The structure in Quantum ESPRESSO input format:
```
&SYSTEM
  ibrav = 0, nat = 28, ntyp = 3
/
ATOMIC_SPECIES
I 126.90 I.upf
Pr 140.91 Pr.upf
B 10.81 B.upf
CELL_PARAMETERS angstrom
-10.441 1.024 -1.599
4.696 -2.920 -9.058
1.735 -7.382 7.424
ATOMIC_POSITIONS crystal
I 0.240 0.990 0.979
I 0.490 0.979 0.740
I 0.010 0.760 0.521
I 0.750 0.760 0.740
I 0.490 0.510 0.250
I 0.010 0.250 0.990
I 0.479 0.740 0.990
I 0.260 0.521 0.510
I 0.240 0.250 0.760
I 0.260 0.740 0.250
I 0.750 0.990 0.510
I 0.021 0.510 0.760
Pr 0.523 0.477 0.750
Pr 0.773 0.750 0.227
Pr 0.546 0.273 0.023
Pr 0.977 0.227 0.454
Pr 0.727 0.273 0.750
Pr 0.773 0.023 0.046
Pr 0.954 0.477 0.227
Pr 0.250 0.023 0.477
Pr 0.523 0.046 0.273
Pr 0.727 0.454 0.477
Pr 0.977 0.750 0.023
Pr 0.250 0.227 0.273
B 0.750 0.500 0.000
B 0.750 0.250 0.250
B 0.000 0.000 0.250
B 0.500 0.250 0.500
```

4.
# Pr2BI

Pr2BI after structural relaxation (GGA-PBE, Alexandria via LeMat-Bulk). Values from VASP.

Properties
**Raw total energy**: -19.92 eV/f.u.
**Space-group type**: R-3m, No. 166
**Crystal system**: trigonal
**Raw formation energy**: -2.131 eV/f.u.

The structure in Quantum ESPRESSO input format:
```
&SYSTEM
  ibrav = 0, nat = 4, ntyp = 3
/
ATOMIC_SPECIES
Pr 140.91 Pr.upf
B 10.81 B.upf
I 126.90 I.upf
CELL_PARAMETERS angstrom
-2.076 -0.305 -3.546
-1.896 -3.525 -0.981
-7.775 1.201 2.055
ATOMIC_POSITIONS crystal
Pr 0.273 0.273 0.182
Pr 0.727 0.727 0.818
B 0.000 0.000 0.000
I 0.500 0.500 0.500
```

5.
# Pr8BSe3I4

Pr8BSe3I4 after structural relaxation (GGA-PBE, Alexandria via LeMat-Bulk). Values from VASP.

Properties
**Raw total energy**: -81.10 eV/f.u.
**Space-group type**: R-3m, No. 166
**Crystal system**: trigonal
**Raw formation energy**: -19.528 eV/f.u.

The structure in Quantum ESPRESSO input format:
```
&SYSTEM
  ibrav = 0, nat = 16, ntyp = 4
/
ATOMIC_SPECIES
Pr 140.91 Pr.upf
Se 78.96 Se.upf
I 126.90 I.upf
B 10.81 B.upf
CELL_PARAMETERS angstrom
8.587 0.000 0.000
0.000 9.152 0.401
-4.294 -4.294 6.071
ATOMIC_POSITIONS crystal
Pr 0.785 0.311 0.026
Pr 0.215 0.689 0.974
Pr 0.215 0.689 0.430
Pr 0.732 0.695 0.463
Pr 0.268 0.305 0.537
Pr 0.760 0.689 0.974
Pr 0.785 0.311 0.570
Pr 0.240 0.311 0.026
Se 0.500 0.500 0.500
Se 0.500 0.500 0.000
Se 0.000 0.500 0.500
I 0.000 0.000 0.500
I 0.500 0.000 0.000
I 0.500 0.000 0.500
I 0.000 0.000 0.000
B 0.000 0.500 0.000
```

6.
# B2PtI8

B2PtI8 after structural relaxation (GGA-PBE, Alexandria via LeMat-Bulk). Values from VASP.

Properties
**Raw total energy**: -32.28 eV/f.u.
**Space-group type**: C2/m, No. 12
**Crystal system**: monoclinic
**Raw formation energy**: -0.482 eV/f.u.

The structure in Quantum ESPRESSO input format:
```
&SYSTEM
  ibrav = 0, nat = 11, ntyp = 3
/
ATOMIC_SPECIES
B 10.81 B.upf
Pt 195.08 Pt.upf
I 126.90 I.upf
CELL_PARAMETERS angstrom
1.114 -7.128 -3.816
-0.866 -3.999 6.361
-8.047 0.749 -1.138
ATOMIC_POSITIONS crystal
B 0.228 0.693 0.772
B 0.772 0.307 0.228
Pt 0.000 0.000 0.000
I 0.960 0.819 0.716
I 0.225 0.403 0.775
I 0.391 0.791 0.609
I 0.775 0.597 0.225
I 0.284 0.819 0.040
I 0.609 0.209 0.391
I 0.040 0.181 0.284
I 0.716 0.181 0.960
```

7.
# B3PtI

B3PtI after structural relaxation (GGA-PBE, Alexandria via LeMat-Bulk). Values from VASP.

Properties
**Raw total energy**: -22.34 eV/f.u.
**Space-group type**: Pm-3m, No. 221
**Crystal system**: cubic
**Raw formation energy**: 5.281 eV/f.u.

The structure in Quantum ESPRESSO input format:
```
&SYSTEM
  ibrav = 0, nat = 5, ntyp = 3
/
ATOMIC_SPECIES
I 126.90 I.upf
B 10.81 B.upf
Pt 195.08 Pt.upf
CELL_PARAMETERS angstrom
-2.860 2.861 1.462
0.956 -1.111 4.044
3.067 3.014 0.103
ATOMIC_POSITIONS crystal
I 0.500 0.500 0.500
B 0.500 0.000 0.000
B 0.000 0.500 0.000
B 0.000 0.000 0.500
Pt 0.000 0.000 0.000
```

8.
# B2Pt2I

B2Pt2I after structural relaxation (GGA-PBE, Alexandria via LeMat-Bulk). Values from VASP.

Properties
**Raw total energy**: -26.25 eV/f.u.
**Space-group type**: I4/mmm, No. 139
**Crystal system**: tetragonal
**Raw formation energy**: 0.738 eV/f.u.

The structure in Quantum ESPRESSO input format:
```
&SYSTEM
  ibrav = 0, nat = 5, ntyp = 3
/
ATOMIC_SPECIES
Pt 195.08 Pt.upf
B 10.81 B.upf
I 126.90 I.upf
CELL_PARAMETERS angstrom
-3.010 -0.145 -1.690
-1.510 -1.338 2.805
-3.801 5.611 2.758
ATOMIC_POSITIONS crystal
Pt 0.659 0.659 0.683
Pt 0.341 0.341 0.317
B 0.250 0.750 0.500
B 0.750 0.250 0.500
I 0.000 0.000 0.000
```

9.
# BPt2I

BPt2I after structural relaxation (GGA-PBE, Alexandria via LeMat-Bulk). Values from VASP.

Properties
**Raw total energy**: -15.56 eV/f.u.
**Space-group type**: Fm-3m, No. 225
**Crystal system**: cubic
**Raw formation energy**: 4.749 eV/f.u.

The structure in Quantum ESPRESSO input format:
```
&SYSTEM
  ibrav = 0, nat = 4, ntyp = 3
/
ATOMIC_SPECIES
B 10.81 B.upf
Pt 195.08 Pt.upf
I 126.90 I.upf
CELL_PARAMETERS angstrom
0.000 3.228 3.228
3.228 0.000 3.228
3.228 3.228 0.000
ATOMIC_POSITIONS crystal
B 0.000 0.000 0.000
Pt 0.250 0.250 0.250
Pt 0.750 0.750 0.750
I 0.500 0.500 0.500
```

10.
# B3PtI

B3PtI after structural relaxation (GGA-PBE, Alexandria via LeMat-Bulk). Values from VASP.

Properties
**Raw total energy**: -14.10 eV/f.u.
**Space-group type**: Pm-3m, No. 221
**Crystal system**: cubic
**Raw formation energy**: 13.519 eV/f.u.

The structure in Quantum ESPRESSO input format:
```
&SYSTEM
  ibrav = 0, nat = 5, ntyp = 3
/
ATOMIC_SPECIES
B 10.81 B.upf
Pt 195.08 Pt.upf
I 126.90 I.upf
CELL_PARAMETERS angstrom
4.332 0.000 0.000
0.000 4.332 0.000
0.000 0.000 4.332
ATOMIC_POSITIONS crystal
B 0.000 0.500 0.000
B 0.500 0.000 0.000
B 0.000 0.000 0.500
Pt 0.500 0.500 0.500
I 0.000 0.000 0.000
```

11.
# BPt2I

BPt2I after structural relaxation (GGA-PBE, Alexandria via LeMat-Bulk). Values from VASP.

Properties
**Raw total energy**: -19.30 eV/f.u.
**Space-group type**: I-42d, No. 122
**Crystal system**: tetragonal
**Raw formation energy**: 1.007 eV/f.u.

The structure in Quantum ESPRESSO input format:
```
&SYSTEM
  ibrav = 0, nat = 8, ntyp = 3
/
ATOMIC_SPECIES
Pt 195.08 Pt.upf
I 126.90 I.upf
B 10.81 B.upf
CELL_PARAMETERS angstrom
5.126 0.000 0.000
0.000 5.126 0.000
2.563 2.563 6.086
ATOMIC_POSITIONS crystal
Pt 0.875 0.759 0.750
Pt 0.509 0.125 0.250
Pt 0.375 0.491 0.750
Pt 0.241 0.625 0.250
I 0.750 0.250 0.500
I 0.000 0.000 0.000
B 0.250 0.750 0.500
B 0.500 0.500 0.000
```

12.
# RbBPt2I

RbBPt2I after structural relaxation (GGA-PBE, Alexandria via LeMat-Bulk). Values from VASP.

Properties
**Raw total energy**: -9.41 eV/f.u.
**Space-group type**: P4/mmm, No. 123
**Crystal system**: tetragonal
**Raw formation energy**: 11.870 eV/f.u.

The structure in Quantum ESPRESSO input format:
```
&SYSTEM
  ibrav = 0, nat = 5, ntyp = 4
/
ATOMIC_SPECIES
Rb 85.47 Rb.upf
Pt 195.08 Pt.upf
B 10.81 B.upf
I 126.90 I.upf
CELL_PARAMETERS angstrom
5.298 0.000 0.000
0.000 5.298 0.000
0.000 0.000 5.214
ATOMIC_POSITIONS crystal
Rb 0.000 0.000 0.000
Pt 0.500 0.000 0.000
Pt 0.000 0.500 0.000
B 0.000 0.000 0.500
I 0.500 0.500 0.500
```

13.
# Rb2BPtI6

Rb2BPtI6 after structural relaxation (GGA-PBE, Alexandria via LeMat-Bulk). Values from VASP.

Properties
**Raw total energy**: -27.64 eV/f.u.
**Space-group type**: I4/mmm, No. 139
**Crystal system**: tetragonal
**Raw formation energy**: -3.689 eV/f.u.

The structure in Quantum ESPRESSO input format:
```
&SYSTEM
  ibrav = 0, nat = 10, ntyp = 4
/
ATOMIC_SPECIES
I 126.90 I.upf
Rb 85.47 Rb.upf
Pt 195.08 Pt.upf
B 10.81 B.upf
CELL_PARAMETERS angstrom
-1.614 0.500 8.528
-8.542 -0.248 -1.602
-4.986 -5.136 3.789
ATOMIC_POSITIONS crystal
I 0.302 0.302 0.397
I 0.780 0.780 0.000
I 0.780 0.220 0.000
I 0.220 0.780 0.000
I 0.698 0.698 0.603
I 0.220 0.220 0.000
Rb 0.750 0.250 0.500
Rb 0.250 0.750 0.500
Pt 0.000 0.000 0.000
B 0.500 0.500 0.000
```

14.
# BSbPtI2

BSbPtI2 after structural relaxation (GGA-PBE, Alexandria via LeMat-Bulk). Values from VASP.

Properties
**Raw total energy**: -14.18 eV/f.u.
**Space-group type**: P4/mmm, No. 123
**Crystal system**: tetragonal
**Raw formation energy**: 5.764 eV/f.u.

The structure in Quantum ESPRESSO input format:
```
&SYSTEM
  ibrav = 0, nat = 5, ntyp = 4
/
ATOMIC_SPECIES
I 126.90 I.upf
Sb 121.76 Sb.upf
B 10.81 B.upf
Pt 195.08 Pt.upf
CELL_PARAMETERS angstrom
5.635 0.000 0.000
0.000 5.635 0.000
0.000 0.000 5.113
ATOMIC_POSITIONS crystal
I 0.500 0.000 0.000
I 0.000 0.500 0.000
Sb 0.000 0.000 0.500
B 0.500 0.500 0.500
Pt 0.000 0.000 0.000
```

15.
# BSbPtI2

BSbPtI2 after structural relaxation (GGA-PBE, Alexandria via LeMat-Bulk). Values from VASP.

Properties
**Raw total energy**: -14.21 eV/f.u.
**Space-group type**: P4/mmm, No. 123
**Crystal system**: tetragonal
**Raw formation energy**: 5.729 eV/f.u.

The structure in Quantum ESPRESSO input format:
```
&SYSTEM
  ibrav = 0, nat = 5, ntyp = 4
/
ATOMIC_SPECIES
Pt 195.08 Pt.upf
B 10.81 B.upf
I 126.90 I.upf
Sb 121.76 Sb.upf
CELL_PARAMETERS angstrom
4.820 0.000 0.000
0.000 4.820 0.000
0.000 0.000 5.010
ATOMIC_POSITIONS crystal
Pt 0.500 0.500 0.500
B 0.000 0.000 0.000
I 0.500 0.000 0.000
I 0.000 0.500 0.000
Sb 0.000 0.000 0.500
```

16.
# BSb2PtI

BSb2PtI after structural relaxation (GGA-PBE, Alexandria via LeMat-Bulk). Values from VASP.

Properties
**Raw total energy**: -16.24 eV/f.u.
**Space-group type**: P4/mmm, No. 123
**Crystal system**: tetragonal
**Raw formation energy**: 6.276 eV/f.u.

The structure in Quantum ESPRESSO input format:
```
&SYSTEM
  ibrav = 0, nat = 5, ntyp = 4
/
ATOMIC_SPECIES
I 126.90 I.upf
Sb 121.76 Sb.upf
Pt 195.08 Pt.upf
B 10.81 B.upf
CELL_PARAMETERS angstrom
5.209 0.000 0.000
0.000 5.209 0.000
0.000 0.000 5.694
ATOMIC_POSITIONS crystal
I 0.000 0.000 0.500
Sb 0.000 0.500 0.000
Sb 0.500 0.000 0.000
Pt 0.000 0.000 0.000
B 0.500 0.500 0.500
```

17.
# BSb2PtI

BSb2PtI after structural relaxation (GGA-PBE, Alexandria via LeMat-Bulk). Values from VASP.

Properties
**Raw total energy**: -17.71 eV/f.u.
**Space-group type**: P4/mmm, No. 123
**Crystal system**: tetragonal
**Raw formation energy**: 4.799 eV/f.u.

The structure in Quantum ESPRESSO input format:
```
&SYSTEM
  ibrav = 0, nat = 5, ntyp = 4
/
ATOMIC_SPECIES
Sb 121.76 Sb.upf
Pt 195.08 Pt.upf
B 10.81 B.upf
I 126.90 I.upf
CELL_PARAMETERS angstrom
-4.752 0.899 0.210
-0.702 -4.235 2.238
0.576 2.084 4.125
ATOMIC_POSITIONS crystal
Sb 0.000 0.500 0.000
Sb 0.500 0.000 0.000
Pt 0.500 0.500 0.500
B 0.000 0.000 0.000
I 0.000 0.000 0.500
```

18.
# BTe2PtI

BTe2PtI after structural relaxation (GGA-PBE, Alexandria via LeMat-Bulk). Values from VASP.

Properties
**Raw total energy**: -14.58 eV/f.u.
**Space-group type**: P4/mmm, No. 123
**Crystal system**: tetragonal
**Raw formation energy**: 5.970 eV/f.u.

The structure in Quantum ESPRESSO input format:
```
&SYSTEM
  ibrav = 0, nat = 5, ntyp = 4
/
ATOMIC_SPECIES
Te 127.60 Te.upf
Pt 195.08 Pt.upf
B 10.81 B.upf
I 126.90 I.upf
CELL_PARAMETERS angstrom
-0.464 -5.018 -1.634
2.981 -1.603 4.076
-4.592 -0.593 3.125
ATOMIC_POSITIONS crystal
Te 0.500 0.000 0.000
Te 0.000 0.500 0.000
Pt 0.000 0.000 0.000
B 0.500 0.500 0.500
I 0.000 0.000 0.500
```

19.
# BTe2PtI

BTe2PtI after structural relaxation (GGA-PBE, Alexandria via LeMat-Bulk). Values from VASP.

Properties
**Raw total energy**: -15.24 eV/f.u.
**Space-group type**: P4/mmm, No. 123
**Crystal system**: tetragonal
**Raw formation energy**: 5.308 eV/f.u.

The structure in Quantum ESPRESSO input format:
```
&SYSTEM
  ibrav = 0, nat = 5, ntyp = 4
/
ATOMIC_SPECIES
Te 127.60 Te.upf
I 126.90 I.upf
B 10.81 B.upf
Pt 195.08 Pt.upf
CELL_PARAMETERS angstrom
-1.584 -1.205 4.442
-3.983 -1.996 -1.961
2.245 -4.159 -0.327
ATOMIC_POSITIONS crystal
Te 0.000 0.500 0.000
Te 0.500 0.000 0.000
I 0.000 0.000 0.500
B 0.000 0.000 0.000
Pt 0.500 0.500 0.500
```

20.
# BTePt2I

BTePt2I after structural relaxation (GGA-PBE, Alexandria via LeMat-Bulk). Values from VASP.

Properties
**Raw total energy**: -13.93 eV/f.u.
**Space-group type**: P4/mmm, No. 123
**Crystal system**: tetragonal
**Raw formation energy**: 9.518 eV/f.u.

The structure in Quantum ESPRESSO input format:
```
&SYSTEM
  ibrav = 0, nat = 5, ntyp = 4
/
ATOMIC_SPECIES
Pt 195.08 Pt.upf
B 10.81 B.upf
Te 127.60 Te.upf
I 126.90 I.upf
CELL_PARAMETERS angstrom
4.947 0.000 0.000
0.000 6.134 0.000
0.000 0.000 4.947
ATOMIC_POSITIONS crystal
Pt 0.500 0.000 0.000
Pt 0.000 0.000 0.500
B 0.500 0.500 0.500
Te 0.000 0.500 0.000
I 0.000 0.000 0.000
```